# Rb2UMnTe4 PBE relaxed
# Total moment: 7.00 μB per formula unit
# Formation energy without anion corrections: -686 meV/atom
# Uncorrected energy: -40.5 eV for the cell shown
data_Rb2UMnTe4
_cell_length_a 7.731
_cell_length_b 4.440
_cell_length_c 8.874
_cell_angle_alpha 90.00
_cell_angle_beta 107.20
_cell_angle_gamma 90.00
_space_group_name_H-M_alt 'P 1 2/m 1'
_space_group_IT_number 10
loop_
_space_group_symop_operation_xyz
'x,y,z'
'-x,-y,-z'
'-x,y,-z'
'x,-y,z'
loop_
_atom_site_label
_atom_site_fract_x
_atom_site_fract_y
_atom_site_fract_z
Rb1 0.000 0.000 0.000
Rb2 0.500 0.500 0.000
U1 0.000 0.500 0.500
Mn1 0.500 0.000 0.500
Te1 0.237 0.000 0.699
Te2 0.284 0.500 0.319

=====

# Y5P12Ru19 PBE relaxed
# Energy of formation: -0.86 eV/atom
# Total moment: 0.00 μB per formula unit
# Uncorrected energy: -304.5 eV for the cell shown
data_Y5P12Ru19
_cell_length_a 12.5348
_cell_length_b 12.5348
_cell_length_c 3.9832
_cell_angle_alpha 90.00
_cell_angle_beta 90.00
_cell_angle_gamma 120.00
_space_group_name_H-M_alt 'P -6 2 m'
_space_group_IT_number 189
_space_group_name_Hall 'P -6 -2'
loop_
_atom_site_label
_atom_site_fract_x
_atom_site_fract_y
_atom_site_fract_z
Y1 0.0000 0.1835 0.0000
Y2 0.3333 0.6667 0.5000
P1 0.0000 0.3730 0.5000
P2 0.0000 0.8154 0.5000
P3 0.1715 0.6940 0.0000
Ru1 0.0000 0.0000 0.5000
Ru2 0.0000 0.5546 0.5000
Ru3 0.0000 0.7169 0.0000
Ru4 0.1258 0.4921 0.0000
Ru5 0.1849 0.8078 0.5000

=====

# TaBeBO2 PBE relaxed
# Total moment: 0.00 μB per formula unit
# Formation energy without anion corrections: -55 meV/atom
# Uncorrected energy: -32.4 eV for the cell shown
data_TaBeBO2
_cell_length_a 3.185
_cell_length_b 3.185
_cell_length_c 6.062
_cell_angle_alpha 90.00
_cell_angle_beta 90.00
_cell_angle_gamma 90.00
_space_group_name_H-M_alt 'P 4/m m m'
_space_group_IT_number 123
_space_group_name_Hall '-P 4 2'
loop_
_atom_site_label
_atom_site_fract_x
_atom_site_fract_y
_atom_site_fract_z
Ta1 0.000 0.000 0.000
Be1 0.000 0.000 0.500
B1 0.500 0.500 0.000
O1 0.000 0.500 0.500

=====

# Zr2CuRh PBE relaxed
# Energy of formation: -0.26 eV/atom
# Total moment: 0.00 μB per formula unit
# Uncorrected energy: -118.3 eV for the cell shown
data_Zr2CuRh
_cell_length_a 6.482
_cell_length_b 6.482
_cell_length_c 6.482
_cell_angle_alpha 90.00
_cell_angle_beta 90.00
_cell_angle_gamma 90.00
_space_group_name_H-M_alt 'F -4 3 m'
_space_group_IT_number 216
_space_group_name_Hall 'F -4 2 3'
loop_
_atom_site_label
_atom_site_fract_x
_atom_site_fract_y
_atom_site_fract_z
Zr1 0.000 0.000 0.000
Zr2 0.250 0.250 0.250
Cu1 0.000 0.000 0.500
Rh1 0.250 0.250 0.750